First-principles (PBE) data for crystalline Y2MnZnSi at its relaxed geometry, as listed in Alexandria via LeMat-Bulk.

a = 5.3794 Å, b = 5.3794 Å, c = 4.3755 Å
α = 90.00°, β = 90.00°, γ = 90.00°
Closest atoms and distances in Å follow each position.
Sites, in units of the cell vectors:
Si 0.0000 0.0000 0.0000  2 Mn 2.19
Y 0.0000 0.5000 0.0000  2 Si 2.69
Zn 0.5000 0.5000 0.5000  8 Y 3.47, 4 Mn 3.80
Y 0.5000 0.0000 0.0000  2 Si 2.69
Mn 0.0000 0.0000 0.5000  2 Si 2.19

Computed properties:
Uncorrected formation energy, eV per atom: 0.08
Space group: P4/mmm (123)

***

First-principles (PBE) data for crystalline YMnZn2Si at its relaxed geometry, as listed in Alexandria via LeMat-Bulk.

a = 4.6701 Å, b = 4.6701 Å, c = 4.9793 Å
α = 90.00°, β = 90.00°, γ = 90.00°
Closest atoms and distances in Å follow each position.
Sites, in units of the cell vectors:
Zn 0.5000 0.0000 0.0000  2 Mn 2.34
Mn 0.0000 0.0000 0.0000  4 Zn 2.34, 2 Y 2.49
Zn 0.0000 0.5000 0.0000  2 Mn 2.34
Y 0.0000 0.0000 0.5000  2 Mn 2.49
Si 0.5000 0.5000 0.5000  4 Y 3.30, 8 Zn 3.41

Computed properties:
Uncorrected formation energy, eV per atom: 0.58
Space group: P4/mmm (123)

***

First-principles (PBE) data for crystalline YbMn2Si2 at its relaxed geometry, as listed in Alexandria via LeMat-Bulk.

a = 3.9300 Å, b = 3.9299 Å, c = 5.8714 Å
α = 109.54°, β = 109.54°, γ = 90.01°
Closest atoms and distances in Å follow each position.
Sites, in units of the cell vectors:
Si 0.6230 0.6230 0.2461  4 Mn 2.36, 1 Si 2.55
Yb 0.0000 0.0000 0.0000  8 Si 3.06, 8 Mn 3.25
Mn 0.2499 0.7500 0.5000  4 Si 2.36
Mn 0.7500 0.2499 0.5000  4 Si 2.36
Si 0.3769 0.3769 0.7539  4 Mn 2.36, 1 Si 2.55

Computed properties:
Uncorrected formation energy, eV per atom: -0.46
Space group: I4/mmm (139)

***

First-principles (PBE) data for crystalline YbMnSi at its relaxed geometry, as listed in Alexandria via LeMat-Bulk.

a = 4.1696 Å, b = 7.2997 Å, c = 7.0632 Å
α = 90.00°, β = 90.00°, γ = 90.00°
Closest atoms and distances in Å follow each position.
Sites, in units of the cell vectors:
Mn 0.7500 0.9390 0.8641  4 Si 2.42-2.65
Mn 0.7500 0.5610 0.3641  4 Si 2.42-2.65
Mn 0.2500 0.4390 0.6359  4 Si 2.42-2.65
Si 0.2500 0.1104 0.7967  4 Mn 2.42-2.65
Si 0.2500 0.3896 0.2967  4 Mn 2.42-2.65
Yb 0.7500 0.1797 0.4944  4 Mn 2.93-3.15, 5 Si 2.94-3.03
Si 0.7500 0.8896 0.2033  4 Mn 2.42-2.65
Yb 0.7500 0.3203 0.9944  4 Mn 2.93-3.15, 5 Si 2.94-3.03
Si 0.7500 0.6104 0.7033  4 Mn 2.42-2.65
Yb 0.2500 0.6797 0.0056  4 Mn 2.93-3.15, 5 Si 2.94-3.03
Yb 0.2500 0.8203 0.5056  4 Mn 2.93-3.15, 5 Si 2.94-3.03
Mn 0.2500 0.0610 0.1359  4 Si 2.42-2.65

Computed properties:
Uncorrected formation energy, eV per atom: -0.39
Space group: Pnma (62)

***

First-principles (PBE) data for crystalline Yb2Mn3Si5 at its relaxed geometry, as listed in Alexandria via LeMat-Bulk.

a = 10.5456 Å, b = 10.5456 Å, c = 5.4357 Å
α = 90.00°, β = 90.00°, γ = 90.00°
Closest atoms and distances in Å follow each position.
Sites, in units of the cell vectors:
Si 0.8231 0.6769 0.7500  3 Mn 2.45-2.64, 4 Si 2.52-2.72
Mn 0.8603 0.1160 0.5000  6 Si 2.39-2.45
Mn 0.6160 0.3603 0.0000  6 Si 2.39-2.45
Si 0.5000 0.5000 0.2632  4 Mn 2.39, 1 Si 2.57
Si 0.6769 0.1769 0.2500  3 Mn 2.45-2.64, 4 Si 2.52-2.72
Si 0.3174 0.0243 0.5000  4 Mn 2.37-2.45, 2 Si 2.52
Yb 0.4275 0.2628 0.5000  9 Si 2.77-3.10, 2 Mn 3.09
Yb 0.0725 0.7628 0.0000  9 Si 2.77-3.10, 2 Mn 3.09
Mn 0.1397 0.8840 0.5000  6 Si 2.39-2.45
Si 0.8174 0.4757 0.0000  4 Mn 2.37-2.45, 2 Si 2.52
Si 0.5243 0.8174 0.0000  4 Mn 2.37-2.45, 2 Si 2.52
Si 0.5000 0.5000 0.7368  4 Mn 2.39, 1 Si 2.57
Mn 0.1160 0.1397 0.5000  6 Si 2.39-2.45
Si 0.1769 0.3231 0.7500  3 Mn 2.45-2.64, 4 Si 2.52-2.72
Si 0.1826 0.5243 0.0000  4 Mn 2.37-2.45, 2 Si 2.52
Si 0.4757 0.1826 0.0000  4 Mn 2.37-2.45, 2 Si 2.52
Si 0.3231 0.8231 0.2500  3 Mn 2.45-2.64, 4 Si 2.52-2.72
Si 0.1769 0.3231 0.2500  3 Mn 2.45-2.64, 4 Si 2.52-2.72
Mn 0.8840 0.8603 0.5000  6 Si 2.39-2.45
Yb 0.9275 0.2372 0.0000  9 Si 2.77-3.10, 2 Mn 3.09
Mn 0.6397 0.6160 0.0000  6 Si 2.39-2.45
Si 0.0243 0.6826 0.5000  4 Mn 2.37-2.45, 2 Si 2.52
Mn 0.3603 0.3840 0.0000  6 Si 2.39-2.45
Yb 0.2372 0.0725 0.0000  9 Si 2.77-3.10, 2 Mn 3.09
Si 0.0000 0.0000 0.2368  4 Mn 2.39, 1 Si 2.57
Yb 0.7628 0.9275 0.0000  9 Si 2.77-3.10, 2 Mn 3.09
Si 0.6826 0.9757 0.5000  4 Mn 2.37-2.45, 2 Si 2.52
Si 0.0000 0.0000 0.7632  4 Mn 2.39, 1 Si 2.57
Mn 0.3840 0.6397 0.0000  6 Si 2.39-2.45
Yb 0.5725 0.7372 0.5000  9 Si 2.77-3.10, 2 Mn 3.09
Mn 0.5000 0.0000 0.2500  6 Si 2.37-2.64
Si 0.6769 0.1769 0.7500  3 Mn 2.45-2.64, 4 Si 2.52-2.72
Yb 0.2628 0.5725 0.5000  9 Si 2.77-3.10, 2 Mn 3.09
Mn 0.0000 0.5000 0.2500  6 Si 2.37-2.64
Yb 0.7372 0.4275 0.5000  9 Si 2.77-3.10, 2 Mn 3.09
Si 0.8231 0.6769 0.2500  3 Mn 2.45-2.64, 4 Si 2.52-2.72
Mn 0.5000 0.0000 0.7500  6 Si 2.37-2.64
Si 0.3231 0.8231 0.7500  3 Mn 2.45-2.64, 4 Si 2.52-2.72
Si 0.9757 0.3174 0.5000  4 Mn 2.37-2.45, 2 Si 2.52
Mn 0.0000 0.5000 0.7500  6 Si 2.37-2.64

Computed properties:
Uncorrected formation energy, eV per atom: -0.51
Space group: P4/mnc (128)

***

First-principles (PBE) data for crystalline Mn2ZnSi2 at its relaxed geometry, as listed in Alexandria via LeMat-Bulk.

a = 6.6710 Å, b = 6.6710 Å, c = 2.8215 Å
α = 90.00°, β = 90.00°, γ = 90.00°
Closest atoms and distances in Å follow each position.
Sites, in units of the cell vectors:
Si 0.8544 0.3544 0.5000  6 Mn 2.40-2.41
Zn 0.5000 0.5000 0.0000  4 Mn 2.55, 2 Zn 2.82
Mn 0.1481 0.3519 0.0000  6 Si 2.40-2.41, 2 Zn 2.55
Mn 0.3519 0.8519 0.0000  6 Si 2.40-2.41, 2 Zn 2.55
Si 0.3544 0.1456 0.5000  6 Mn 2.40-2.41
Si 0.6456 0.8544 0.5000  6 Mn 2.40-2.41
Mn 0.8519 0.6481 0.0000  6 Si 2.40-2.41, 2 Zn 2.55
Zn 0.0000 0.0000 0.0000  4 Mn 2.55, 2 Zn 2.82
Mn 0.6481 0.1481 0.0000  6 Si 2.40-2.41, 2 Zn 2.55
Si 0.1456 0.6456 0.5000  6 Mn 2.40-2.41

Computed properties:
Uncorrected formation energy, eV per atom: -0.15
Space group: P4/mbm (127)

***

First-principles (PBE) data for crystalline MnZn2Si2 at its relaxed geometry, as listed in Alexandria via LeMat-Bulk.

a = 6.5084 Å, b = 6.5084 Å, c = 3.3671 Å
α = 90.00°, β = 90.00°, γ = 90.00°
Closest atoms and distances in Å follow each position.
Sites, in units of the cell vectors:
Zn 0.3670 0.8670 0.0000  6 Si 2.45-2.63, 1 Zn 2.45, 2 Mn 2.54
Si 0.6738 0.8262 0.5000  6 Zn 2.45-2.63
Si 0.1738 0.6738 0.5000  6 Zn 2.45-2.63
Zn 0.6330 0.1330 0.0000  6 Si 2.45-2.63, 1 Zn 2.45, 2 Mn 2.54
Zn 0.1330 0.3670 0.0000  6 Si 2.45-2.63, 1 Zn 2.45, 2 Mn 2.54
Zn 0.8670 0.6330 0.0000  6 Si 2.45-2.63, 1 Zn 2.45, 2 Mn 2.54
Si 0.3262 0.1738 0.5000  6 Zn 2.45-2.63
Si 0.8262 0.3262 0.5000  6 Zn 2.45-2.63
Mn 0.0000 0.0000 0.0000  4 Zn 2.54
Mn 0.5000 0.5000 0.0000  4 Zn 2.54

Computed properties:
Uncorrected formation energy, eV per atom: 0.57
E above lowest polymorph, meV per atom: 365.3
Space group: P4/mbm (127)

***

First-principles (PBE) data for crystalline MnZn2Si2 at its relaxed geometry, as listed in Alexandria via LeMat-Bulk.

a = 3.4345 Å, b = 3.4345 Å, c = 7.2243 Å
α = 76.25°, β = 76.25°, γ = 90.00°
Closest atoms and distances in Å follow each position.
Sites, in units of the cell vectors:
Zn 0.5942 0.5942 0.8117  1 Zn 2.56, 4 Si 2.73, 4 Mn 2.75
Si 0.7500 0.2500 0.5000  4 Si 2.43
Si 0.2500 0.7500 0.5000  4 Si 2.43
Zn 0.4058 0.4058 0.1883  1 Zn 2.56, 4 Si 2.73, 4 Mn 2.75
Mn 0.0000 0.0000 0.0000  8 Zn 2.75

Computed properties:
Uncorrected formation energy, eV per atom: 0.38
E above lowest polymorph, meV per atom: 174.4
Space group: I4/mmm (139)

***

First-principles (PBE) data for crystalline MnZn2Si at its relaxed geometry, as listed in Alexandria via LeMat-Bulk.

a = 4.3842 Å, b = 5.4191 Å, c = 2.6558 Å
α = 75.45°, β = 90.89°, γ = 114.10°
Closest atoms and distances in Å follow each position.
Sites, in units of the cell vectors:
Mn 0.0000 0.5000 0.5000  4 Si 2.55-2.58, 2 Mn 2.66, 4 Zn 2.70
Zn 0.0000 0.0000 0.0000  6 Zn 2.55-2.66, 2 Mn 2.70, 2 Si 2.70
Zn 0.5000 0.0000 0.5000  6 Zn 2.55-2.66, 2 Si 2.70, 2 Mn 2.70
Si 0.5000 0.5000 0.0000  4 Mn 2.55-2.58, 2 Si 2.66, 4 Zn 2.70

Computed properties:
Uncorrected formation energy, eV per atom: 0.05
Space group: C2/m (12)

***

First-principles (PBE) data for crystalline MnZn2Si at its relaxed geometry, as listed in Alexandria via LeMat-Bulk.

a = 9.2491 Å, b = 9.2491 Å, c = 9.2491 Å
α = 16.76°, β = 16.76°, γ = 16.76°
Closest atoms and distances in Å follow each position.
Sites, in units of the cell vectors:
Mn 0.2500 0.2500 0.2500  6 Zn 2.64, 6 Mn 2.70
Si 0.7500 0.7500 0.7500  6 Si 2.70, 6 Zn 2.88
Zn 0.5053 0.5053 0.5053  3 Mn 2.64, 6 Zn 2.70, 3 Si 2.88
Zn 0.9947 0.9947 0.9947  3 Mn 2.64, 6 Zn 2.70, 3 Si 2.88

Computed properties:
Uncorrected formation energy, eV per atom: 0.21
Space group: R-3m (166)

***

First-principles (PBE) data for crystalline Mn2Zn2Si at its relaxed geometry, as listed in Alexandria via LeMat-Bulk.

a = 7.1074 Å, b = 7.1074 Å, c = 7.1074 Å
α = 152.90°, β = 152.90°, γ = 38.70°
Closest atoms and distances in Å follow each position.
Sites, in units of the cell vectors:
Zn 0.7500 0.2500 0.5000  4 Zn 2.35
Zn 0.2500 0.7500 0.5000  4 Zn 2.35
Si 0.0000 0.0000 0.0000  8 Mn 2.64
Mn 0.5889 0.5889 0.0000  1 Mn 2.38, 4 Si 2.64
Mn 0.4111 0.4111 0.0000  1 Mn 2.38, 4 Si 2.64

Computed properties:
Uncorrected formation energy, eV per atom: 0.31
E above lowest polymorph, meV per atom: 292.3
Space group: I4/mmm (139)

***

First-principles (PBE) data for crystalline MnZn2Si at its relaxed geometry, as listed in Alexandria via LeMat-Bulk.

a = 7.1988 Å, b = 7.1988 Å, c = 5.6487 Å
α = 50.42°, β = 50.42°, γ = 90.00°
Closest atoms and distances in Å follow each position.
Sites, in units of the cell vectors:
Mn 0.7500 0.2500 0.5000  2 Si 2.45, 4 Zn 2.73
Zn 0.6029 0.1250 0.2500  2 Zn 2.47, 2 Si 2.51, 2 Mn 2.73
Si 0.5000 0.5000 0.0000  2 Mn 2.45, 4 Zn 2.51
Zn 0.8750 0.8529 0.7500  2 Zn 2.47, 2 Si 2.51, 2 Mn 2.73
Mn 0.0000 0.0000 0.0000  2 Si 2.45, 4 Zn 2.73
Si 0.2500 0.7500 0.5000  2 Mn 2.45, 4 Zn 2.51
Zn 0.1471 0.6250 0.2500  2 Zn 2.47, 2 Si 2.51, 2 Mn 2.73
Zn 0.3750 0.3971 0.7500  2 Zn 2.47, 2 Si 2.51, 2 Mn 2.73

Computed properties:
Uncorrected formation energy, eV per atom: 0.31
Space group: I-42d (122)

***

Among the records above, which one has the lowest uncorrected formation energy?
Yb2Mn3Si5

***

Among the records above, which one has the lowest uncorrected formation energy?
Yb2Mn3Si5

***

Please write out number 4 again, unchanged.
First-principles (PBE) data for crystalline YbMnSi at its relaxed geometry, as listed in Alexandria via LeMat-Bulk.

a = 4.1696 Å, b = 7.2997 Å, c = 7.0632 Å
α = 90.00°, β = 90.00°, γ = 90.00°
Closest atoms and distances in Å follow each position.
Sites, in units of the cell vectors:
Mn 0.7500 0.9390 0.8641  4 Si 2.42-2.65
Mn 0.7500 0.5610 0.3641  4 Si 2.42-2.65
Mn 0.2500 0.4390 0.6359  4 Si 2.42-2.65
Si 0.2500 0.1104 0.7967  4 Mn 2.42-2.65
Si 0.2500 0.3896 0.2967  4 Mn 2.42-2.65
Yb 0.7500 0.1797 0.4944  4 Mn 2.93-3.15, 5 Si 2.94-3.03
Si 0.7500 0.8896 0.2033  4 Mn 2.42-2.65
Yb 0.7500 0.3203 0.9944  4 Mn 2.93-3.15, 5 Si 2.94-3.03
Si 0.7500 0.6104 0.7033  4 Mn 2.42-2.65
Yb 0.2500 0.6797 0.0056  4 Mn 2.93-3.15, 5 Si 2.94-3.03
Yb 0.2500 0.8203 0.5056  4 Mn 2.93-3.15, 5 Si 2.94-3.03
Mn 0.2500 0.0610 0.1359  4 Si 2.42-2.65

Computed properties:
Uncorrected formation energy, eV per atom: -0.39
Space group: Pnma (62)

***

Which formula does entry 8 have?
MnZn2Si2